Entry 1:
## LaTe2W (GGA-PBE)

Data for an optimized crystal structure of LaTe2W.

Calculated values
**SG**: No. 160
**DOS(E_F)**: 4.43 states/eV/f.u.
**VASP energy**: -5.88 eV/atom
**Distance to the lowest polymorph of the same formula**: 0.4242 eV per atom

a = 9.7643 Å, b = 9.7643 Å, c = 9.7643 Å
α = 21.91°, β = 21.91°, γ = 21.91°
Last column: nearest neighbours and their distance in Å.
Sites, in units of the cell vectors:
La  0.7568  0.7568  0.7568  3 W 3.20, 3 Te 3.24
Te  0.0051  0.0051  0.0051  3 La 3.24
Te  0.2314  0.2314  0.2314  3 W 2.71
W  0.5067  0.5067  0.5067  3 Te 2.71



Entry 2:
## LaTe2W (GGA-PBE)

Data for an optimized crystal structure of LaTe2W.

Calculated values
**SG**: No. 6
**DOS(E_F)**: 3.67 states/eV/f.u.
**VASP energy**: -6.12 eV/atom
**Distance to the lowest polymorph of the same formula**: 0.1838 eV per atom

a = 4.8996 Å, b = 3.8526 Å, c = 6.3332 Å
α = 72.38°, β = 90.00°, γ = 90.00°
Last column: nearest neighbours and their distance in Å.
Sites, in units of the cell vectors:
La  0.5000  0.6809  0.7638  7 Te 3.27-3.38, 4 W 3.55
Te  0.0000  0.0985  0.9293  1 W 2.70
Te  0.5000  0.4001  0.3243  2 W 2.63
W  0.0000  0.3204  0.4825  3 Te 2.63-2.70



Entry 3:
## La4Te2W (GGA-PBE)

Data for an optimized crystal structure of La4Te2W.

Calculated values
**SG**: No. 139
**DOS(E_F)**: 7.38 states/eV/f.u.
**VASP energy**: -5.99 eV/atom

a = 5.3816 Å, b = 5.3816 Å, c = 9.2939 Å
α = 73.17°, β = 73.17°, γ = 90.00°
Last column: nearest neighbours and their distance in Å.
Sites, in units of the cell vectors:
Te  0.6367  0.6367  0.7266  5 La 3.27-3.55
Te  0.3633  0.3633  0.2734  5 La 3.27-3.55
W  0.0000  0.0000  0.0000  6 La 2.69-2.89
La  0.8298  0.8298  0.3404  1 W 2.89
La  0.1702  0.1702  0.6596  1 W 2.89
La  0.0000  0.5000  0.0000  2 W 2.69
La  0.5000  0.0000  0.0000  2 W 2.69



Entry 4:
## LaTeW2 (GGA-PBE)

Data for an optimized crystal structure of LaTeW2.

Calculated values
**SG**: No. 12
**DOS(E_F)**: 3.78 states/eV/f.u.
**VASP energy**: -8.02 eV/atom

a = 5.3755 Å, b = 5.3755 Å, c = 5.3470 Å
α = 76.51°, β = 76.51°, γ = 39.13°
Last column: nearest neighbours and their distance in Å.
Sites, in units of the cell vectors:
La  0.7500  0.7500  0.7500  4 Te 3.22, 6 W 3.36, 2 La 3.60
Te  0.2500  0.2500  0.2500  6 W 2.95-2.99, 4 La 3.22
W  0.9867  0.9867  0.0926  2 W 2.52
W  0.5133  0.5133  0.4074  2 W 2.52



Entry 5:
## LaTeW (GGA-PBE)

Data for an optimized crystal structure of LaTeW.

Calculated values
**SG**: No. 187
**DOS(E_F)**: 3.12 states/eV/f.u.
**VASP energy**: -6.86 eV/atom
**Distance to the lowest polymorph of the same formula**: 0.0319 eV per atom

a = 4.7074 Å, b = 4.7074 Å, c = 3.9814 Å
α = 90.00°, β = 90.00°, γ = 120.00°
Last column: nearest neighbours and their distance in Å.
Sites, in units of the cell vectors:
La  0.0000  0.0000  0.9998  6 W 3.37, 6 Te 3.37
Te  0.6667  0.3333  0.5001  3 W 2.72
W  0.3333  0.6667  0.5002  3 Te 2.72



Entry 6:
## LaTeW2 (GGA-PBE)

Data for an optimized crystal structure of LaTeW2.

Calculated values
**SG**: No. 123
**DOS(E_F)**: 3.17 states/eV/f.u.
**VASP energy**: -7.68 eV/atom

a = 3.7550 Å, b = 3.7550 Å, c = 6.4825 Å
α = 90.00°, β = 90.00°, γ = 90.00°
Last column: nearest neighbours and their distance in Å.
Sites, in units of the cell vectors:
La  0.5000  0.5000  0.2500  2 Te 3.24, 8 W 3.33
Te  0.5000  0.5000  0.7500  8 W 2.93, 2 La 3.24
W  0.0000  0.0000  0.9396  1 W 2.46
W  0.0000  0.0000  0.5604  1 W 2.46



Entry 7:
## LaTeW2 (GGA-PBE)

Data for an optimized crystal structure of LaTeW2.

Calculated values
**SG**: No. 123
**DOS(E_F)**: 5.90 states/eV/f.u.
**VASP energy**: -7.56 eV/atom

a = 4.7187 Å, b = 4.7187 Å, c = 3.7061 Å
α = 90.00°, β = 90.00°, γ = 90.00°
Last column: nearest neighbours and their distance in Å.
Sites, in units of the cell vectors:
La  0.5000  0.0000  0.5000  8 W 3.00, 4 Te 3.34
Te  0.0000  0.5000  0.5000  8 W 3.00, 4 La 3.34
W  0.0000  0.0000  0.0000  4 La 3.00, 4 Te 3.00, 4 W 3.34
W  0.5000  0.5000  0.0000  4 La 3.00, 4 Te 3.00, 4 W 3.34



Entry 8:
## LaTeW2 (GGA-PBE)

Data for an optimized crystal structure of LaTeW2.

Calculated values
**SG**: No. 160
**DOS(E_F)**: 3.55 states/eV/f.u.
**VASP energy**: -8.33 eV/atom

a = 4.4670 Å, b = 4.4670 Å, c = 6.1799 Å
α = 68.79°, β = 68.79°, γ = 60.00°
Last column: nearest neighbours and their distance in Å.
Sites, in units of the cell vectors:
La  0.4956  0.4956  0.5129  7 W 3.28-3.61, 4 Te 3.28-3.58
Te  0.2831  0.2831  0.1505  6 W 2.78-3.01
W  0.0124  0.0124  0.9631  3 W 2.63, 3 Te 2.78-2.79
W  0.7089  0.7089  0.8735  3 W 2.63



Entry 9:
## LaTeW2 (GGA-PBE)

Data for an optimized crystal structure of LaTeW2.

Calculated values
**SG**: No. 119
**DOS(E_F)**: 3.94 states/eV/f.u.
**VASP energy**: -7.73 eV/atom

a = 5.0727 Å, b = 5.0727 Å, c = 5.0727 Å
α = 124.45°, β = 124.45°, γ = 82.46°
Last column: nearest neighbours and their distance in Å.
Sites, in units of the cell vectors:
La  0.5000  0.5000  0.0000  4 Te 3.04, 8 W 3.04-3.34
Te  0.7500  0.2500  0.5000  4 La 3.04, 8 W 3.04-3.34
W  0.0000  0.0000  0.0000  4 W 3.04, 4 Te 3.04, 4 La 3.34
W  0.2500  0.7500  0.5000  4 La 3.04, 4 W 3.04, 4 Te 3.34



Entry 10:
## LaTeW2 (GGA-PBE)

Data for an optimized crystal structure of LaTeW2.

Calculated values
**SG**: No. 166
**DOS(E_F)**: 4.81 states/eV/f.u.
**VASP energy**: -7.52 eV/atom

a = 10.0712 Å, b = 10.0712 Å, c = 10.0712 Å
α = 17.96°, β = 17.96°, γ = 17.96°
Last column: nearest neighbours and their distance in Å.
Sites, in units of the cell vectors:
La  0.2500  0.2500  0.2500  6 La 3.14, 6 W 3.36
Te  0.7500  0.7500  0.7500  6 W 2.79
W  0.0120  0.0120  0.0120  3 Te 2.79
W  0.4880  0.4880  0.4880  3 Te 2.79



Entry 11:
## LaTeW2 (GGA-PBE)

Data for an optimized crystal structure of LaTeW2.

Calculated values
**SG**: No. 10
**DOS(E_F)**: 4.82 states/eV/f.u.
**VASP energy**: -7.79 eV/atom

a = 3.5157 Å, b = 4.8832 Å, c = 6.3878 Å
α = 52.14°, β = 90.00°, γ = 90.00°
Last column: nearest neighbours and their distance in Å.
Sites, in units of the cell vectors:
La  0.5000  0.5000  0.5000  4 Te 3.01, 6 W 3.11-3.19
Te  0.0000  0.0000  0.5000  4 La 3.01, 6 W 3.11-3.19
W  0.0000  0.0000  0.0000  4 W 3.01, 4 La 3.11, 2 Te 3.19
W  0.5000  0.5000  0.0000  4 W 3.01, 4 Te 3.11, 2 La 3.19



Entry 12:
## LaTeW2 (GGA-PBE)

Data for an optimized crystal structure of LaTeW2.

Calculated values
**SG**: No. 71
**DOS(E_F)**: 4.34 states/eV/f.u.
**VASP energy**: -7.75 eV/atom

a = 6.0959 Å, b = 6.0959 Å, c = 6.0959 Å
α = 146.89°, β = 133.81°, γ = 58.01°
Last column: nearest neighbours and their distance in Å.
Sites, in units of the cell vectors:
La  0.7500  0.2500  0.5000  4 Te 2.96, 4 W 3.22
Te  0.2500  0.7500  0.5000  4 La 2.96, 4 W 3.15
W  0.0040  0.0040  0.0000  4 W 2.96, 2 Te 3.15, 2 La 3.22
W  0.4960  0.4960  0.0000  4 W 2.96, 2 Te 3.15, 2 La 3.22



Entry 13:
## LaTe2W (GGA-PBE)

Data for an optimized crystal structure of LaTe2W.

Calculated values
**SG**: No. 44
**DOS(E_F)**: 2.60 states/eV/f.u.
**VASP energy**: -6.20 eV/atom
**Distance to the lowest polymorph of the same formula**: 0.1035 eV per atom

a = 7.4132 Å, b = 7.4132 Å, c = 7.4132 Å
α = 151.72°, β = 146.85°, γ = 44.12°
Last column: nearest neighbours and their distance in Å.
Sites, in units of the cell vectors:
La  0.3028  0.8028  0.5000  6 Te 3.17-3.20
Te  0.9744  0.9744  0.0000  4 W 2.91, 2 La 3.17
Te  0.6875  0.1875  0.5000  2 W 2.77
W  0.5353  0.5353  0.0000  6 Te 2.77-2.91



Entry 14:
## LaTe2W (GGA-PBE)

Data for an optimized crystal structure of LaTe2W.

Calculated values
**SG**: No. 216
**DOS(E_F)**: 5.68 states/eV/f.u.
**VASP energy**: -5.50 eV/atom
**Distance to the lowest polymorph of the same formula**: 0.8021 eV per atom

a = 5.2233 Å, b = 5.2233 Å, c = 5.2233 Å
α = 60.00°, β = 60.00°, γ = 60.00°
Last column: nearest neighbours and their distance in Å.
Sites, in units of the cell vectors:
La  0.5000  0.5000  0.5000  4 W 3.20, 4 Te 3.20
Te  0.0000  0.0000  0.0000  4 W 3.20, 4 Te 3.20
Te  0.2500  0.2500  0.2500  4 La 3.20, 4 Te 3.20
W  0.7500  0.7500  0.7500  4 Te 3.20, 4 La 3.20



Entry 15:
## LaTeW2 (GGA-PBE)

Data for an optimized crystal structure of LaTeW2.

Calculated values
**SG**: No. 35
**DOS(E_F)**: 3.68 states/eV/f.u.
**VASP energy**: -8.01 eV/atom

a = 3.1380 Å, b = 3.1380 Å, c = 9.7215 Å
α = 90.00°, β = 90.00°, γ = 113.08°
Last column: nearest neighbours and their distance in Å.
Sites, in units of the cell vectors:
La  0.0000  0.0000  0.4815  2 W 3.11, 6 La 3.14-3.46, 2 Te 3.38
Te  0.5000  0.5000  0.7803  2 W 2.93, 4 Te 3.14
W  0.0000  0.0000  0.0231  2 W 2.54
W  0.5000  0.5000  0.2151  2 W 2.54